Entry from Alexandria via LeMat-Bulk: a relaxed structure of CsZn2Ir (GGA-PBE).

Unit cell a=5.042 b=5.042 c=5.042 alpha=60.00 beta=60.00 gamma=60.00
Sites, in units of the cell vectors:
Cs 0.000 0.000 0.000
Zn 0.250 0.250 0.250
Zn 0.750 0.750 0.750
Ir 0.500 0.500 0.500

Calculated values
For the energy relative to the elements, the calculation gives 0.8735 eV per atom. Its mass density is 8.4 Mg/m³. Its space group is Fm-3m, No. 225. The calculation puts the distance to the lowest polymorph of the same formula at 637 meV per atom.